TiInF2 PBE relaxed; relative energy among the computed polymorphs = 175 meV/atom; space-group type = I-42d; E_tot = -5.29 eV per atom; V = 320.0 Å³ per cell; E_form (uncorrected) = -1.70 eV/atom; D(E_F) = 10.2 states/eV/cell
1.0
5.139 0.000 0.000
0.000 5.139 0.000
0.000 0.000 12.117
Ti In F
4 4 8
Direct
0.000 0.000 0.000
0.000 0.500 0.250
0.500 0.000 0.750
0.500 0.500 0.500
0.000 0.000 0.500
0.000 0.500 0.750
0.500 0.000 0.250
0.500 0.500 0.000
0.023 0.250 0.125
0.250 0.523 0.375
0.250 0.977 0.875
0.477 0.250 0.625
0.523 0.750 0.625
0.750 0.023 0.875
0.750 0.477 0.375
0.977 0.750 0.125